(1)
Computed, not measured: a relaxed LiAlCl2 crystal at the GGA-PBEsol level of DFT.

The uncorrected formation energy is -102.3 kJ per mole of atoms. Its symmetry is Pm, No. 6. For the energy above the most stable polymorph in this dataset, the calculation gives 0.000 eV per atom.

Geometry as POSCAR:
```
LiAlCl2
1.0
3.381 0.000 0.000
0.000 5.201 -0.143
0.000 -2.481 5.011
Li Al Cl
1 1 2
direct
0.000 0.519 0.495
0.500 0.307 0.816
0.000 0.020 0.912
0.500 0.654 0.277
```


(2)
Computed, not measured: a relaxed Li2AlCl crystal at the GGA-PBEsol level of DFT.

The uncorrected formation energy is -37.3 kJ per mole of atoms. Its symmetry is P4/mmm, No. 123. For the energy above the most stable polymorph in this dataset, the calculation gives 0.094 eV per atom.

Geometry as POSCAR:
```
Li2AlCl
1.0
-2.822 1.393 -0.007
-1.241 -2.495 3.886
1.714 3.488 2.787
Cl Al Li
1 1 2
direct
0.500 0.000 0.000
0.500 0.500 0.500
0.000 0.000 0.500
0.000 0.500 0.000
```


(3)
Computed, not measured: a relaxed Li3AlCl crystal at the GGA-PBEsol level of DFT.

The uncorrected formation energy is -45.3 kJ per mole of atoms. Its symmetry is Pm-3m, No. 221.

Geometry as POSCAR:
```
Li3AlCl
1.0
4.577 0.000 0.000
0.000 4.577 0.000
0.000 0.000 4.577
Li Al Cl
3 1 1
direct
0.000 0.500 0.000
0.000 0.000 0.500
0.500 0.000 0.000
0.500 0.500 0.500
0.000 0.000 0.000
```


Values of calculated volume, in order: 87; 72; 96, all in Å³ per cell.